Entry 1:
Entry from the Alexandria database: crystalline Pm6NdSm2Y3 at its relaxed geometry (GGA-PBE).

Lattice parameters (Å, degrees): 6.296 10.906 12.000 90.00 100.06 90.00
Space group C2/m (No. 12)
Symmetry-distinct sites (fractional):
1 Pm 0.249 0.167 0.248 (multiplicity 8)
2 Pm 0.250 0.000 0.752 (multiplicity 4)
3 Nd 0.000 0.500 0.500 (multiplicity 2)
4 Sm 0.000 0.167 0.500 (multiplicity 4)
5 Y 0.000 0.000 0.000 (multiplicity 2)
6 Y 0.000 0.333 0.000 (multiplicity 4)

Volume   811 Å³/cell
Magnetization   0.00 μB per cell
Formation enthalpy at 0 K   0.012 eV/atom

=====

Entry 2:
Entry from the Alexandria database: crystalline Pm6NdSm3Y2 at its relaxed geometry (GGA-PBE).

Lattice parameters (Å, degrees): 6.302 10.914 12.046 90.00 100.04 90.00
Space group C2/m (No. 12)
Symmetry-distinct sites (fractional):
1 Pm 0.250 0.000 0.250 (multiplicity 4)
2 Pm 0.250 0.167 0.750 (multiplicity 8)
3 Nd 0.000 0.000 0.500 (multiplicity 2)
4 Sm 0.000 0.167 0.000 (multiplicity 4)
5 Sm 0.000 0.500 0.000 (multiplicity 2)
6 Y 0.000 0.333 0.500 (multiplicity 4)

Volume   816 Å³/cell
Magnetization   0.00 μB per cell
Formation enthalpy at 0 K   0.012 eV/atom

=====

Entry 3:
Entry from the Alexandria database: crystalline PmNd4Sm2Y2 at its relaxed geometry (GGA-PBE).

Lattice parameters (Å, degrees): 19.066 3.677 9.784 90.00 115.73 90.00
Space group C2/m (No. 12)
Symmetry-distinct sites (fractional):
1 Pm 0.000 0.000 0.000 (multiplicity 2)
2 Nd 0.018 0.500 0.334 (multiplicity 4)
3 Nd 0.186 0.000 0.332 (multiplicity 4)
4 Sm 0.167 0.500 0.000 (multiplicity 4)
5 Y 0.148 0.000 0.669 (multiplicity 4)

Volume   618 Å³/cell
Magnetization   0.00 μB per cell
Formation enthalpy at 0 K   0.006 eV/atom

=====

Entry 4:
Entry from the Alexandria database: crystalline PmNd2Sm3Y6 at its relaxed geometry (GGA-PBE).

Lattice parameters (Å, degrees): 6.267 10.850 11.878 90.00 100.08 90.00
Space group C2/m (No. 12)
Symmetry-distinct sites (fractional):
1 Pm 0.000 0.000 0.000 (multiplicity 2)
2 Nd 0.000 0.333 0.000 (multiplicity 4)
3 Sm 0.000 0.167 0.500 (multiplicity 4)
4 Sm 0.000 0.500 0.500 (multiplicity 2)
5 Y 0.249 0.000 0.749 (multiplicity 4)
6 Y 0.250 0.167 0.251 (multiplicity 8)

Volume   795 Å³/cell
Magnetization   0.00 μB per cell
Formation enthalpy at 0 K   0.011 eV/atom

=====

Entry 5:
Entry from the Alexandria database: crystalline Pm2Nd2SmY4 at its relaxed geometry (GGA-PBE).

Lattice parameters (Å, degrees): 18.947 3.652 9.712 90.00 115.75 90.00
Space group C2/m (No. 12)
Symmetry-distinct sites (fractional):
1 Pm 0.148 0.000 0.165 (multiplicity 4)
2 Nd 0.166 0.500 0.501 (multiplicity 4)
3 Sm 0.000 0.000 0.500 (multiplicity 2)
4 Y 0.019 0.500 0.834 (multiplicity 4)
5 Y 0.185 0.000 0.836 (multiplicity 4)

Volume   605 Å³/cell
Magnetization   0.00 μB per cell
Formation enthalpy at 0 K   -0.002 eV/atom

=====

Entry 6:
Entry from the Alexandria database: crystalline PmNdSm2Y6 at its relaxed geometry (GGA-PBE).

Lattice parameters (Å, degrees): 9.147 15.066 9.869 90.00 99.91 90.00
Space group C2/c (No. 15)
Symmetry-distinct sites (fractional):
1 Pm 0.000 0.019 0.250 (multiplicity 4)
2 Nd 0.000 0.405 0.750 (multiplicity 4)
3 Sm 0.239 0.049 0.544 (multiplicity 8)
4 Y 0.069 0.188 0.943 (multiplicity 8)
5 Y 0.098 0.396 0.119 (multiplicity 8)
6 Y 0.201 0.224 0.317 (multiplicity 8)

Volume   1340 Å³/cell
Magnetization   0.00 μB per cell
Formation enthalpy at 0 K   0.117 eV/atom